<i>
Below is Tb4Dy3Y2 after structural relaxation, with properties calculated at the PBE level.

The density of states at the Fermi level is 1.485 states/eV per atom. As for the space group: C2/c, No. 15. The calculated volume comes out at 31.83 A^3/atom.

Lattice parameters (Å, degrees): 9.9741 9.9741 6.1255 94.84 94.84 70.96
Closest atoms and distances in Å follow each position.
Sites, in units of the cell vectors:
Tb: 0.0944 0.8132 0.9867  1 Y 3.31, 4 Dy 3.37-3.49, 3 Tb 3.40-3.58
Tb: 0.1429 0.4302 0.1551  1 Tb 3.26, 4 Dy 3.39-3.49, 3 Y 3.40-3.60
Tb: 0.1868 0.9056 0.5133  1 Y 3.31, 4 Dy 3.37-3.49, 3 Tb 3.40-3.58
Tb: 0.4302 0.1429 0.6551  1 Tb 3.26, 4 Dy 3.39-3.49, 3 Y 3.40-3.60
Tb: 0.5698 0.8571 0.3449  1 Tb 3.26, 4 Dy 3.39-3.49, 3 Y 3.40-3.60
Tb: 0.8132 0.0944 0.4867  1 Y 3.31, 4 Dy 3.37-3.49, 3 Tb 3.40-3.58
Tb: 0.8571 0.5698 0.8449  1 Tb 3.26, 4 Dy 3.39-3.49, 3 Y 3.40-3.60
Tb: 0.9056 0.1868 0.0133  1 Y 3.31, 4 Dy 3.37-3.49, 3 Tb 3.40-3.58
Dy: 0.0707 0.2627 0.5818  6 Tb 3.37-3.49, 2 Y 3.48-3.51
Dy: 0.2627 0.0707 0.0818  6 Tb 3.37-3.49, 2 Y 3.48-3.51
Dy: 0.4010 0.5990 0.2500  4 Y 3.38-3.48, 4 Tb 3.46-3.49
Dy: 0.5990 0.4010 0.7500  4 Y 3.38-3.48, 4 Tb 3.46-3.49
Dy: 0.7373 0.9293 0.9182  6 Tb 3.37-3.49, 2 Y 3.48-3.51
Dy: 0.9293 0.7373 0.4182  6 Tb 3.37-3.49, 2 Y 3.48-3.51
Y: 0.2401 0.5188 0.6821  4 Tb 3.31-3.60, 4 Dy 3.38-3.51
Y: 0.4812 0.7599 0.8179  4 Tb 3.31-3.60, 4 Dy 3.38-3.51
Y: 0.5188 0.2401 0.1821  4 Tb 3.31-3.60, 4 Dy 3.38-3.51
Y: 0.7599 0.4812 0.3179  4 Tb 3.31-3.60, 4 Dy 3.38-3.51

=====

<ii>
Below is Tb4Dy3Y2 after structural relaxation, with properties calculated at the PBE level.

The density of states at the Fermi level is 1.295 states/eV per atom. As for the space group: C2/m, No. 12. The calculated volume comes out at 31.84 A^3/atom.

Lattice parameters (Å, degrees): 7.9537 7.9537 7.9542 107.29 107.29 36.85
Closest atoms and distances in Å follow each position.
Sites, in units of the cell vectors:
Tb: 0.1669 0.1669 0.9999  5 Tb 3.55-3.56, 5 Dy 3.55-3.56, 2 Y 3.55-3.57
Tb: 0.2776 0.2776 0.6670  5 Tb 3.55-3.56, 4 Dy 3.55-3.57, 3 Y 3.56-3.57
Tb: 0.7224 0.7224 0.3330  5 Tb 3.55-3.56, 4 Dy 3.55-3.57, 3 Y 3.56-3.57
Tb: 0.8331 0.8331 0.0001  5 Tb 3.55-3.56, 5 Dy 3.55-3.56, 2 Y 3.55-3.57
Dy: 0.3884 0.3884 0.3326  6 Tb 3.55-3.56, 2 Dy 3.55-3.58, 4 Y 3.56
Dy: 0.5000 0.5000 0.0000  2 Dy 3.55, 4 Y 3.56, 6 Tb 3.56-3.57
Dy: 0.6116 0.6116 0.6674  6 Tb 3.55-3.56, 2 Dy 3.55-3.58, 4 Y 3.56
Y: 0.0555 0.0555 0.3329  5 Tb 3.55-3.57, 6 Dy 3.56, 1 Y 3.56
Y: 0.9445 0.9445 0.6671  5 Tb 3.55-3.57, 6 Dy 3.56, 1 Y 3.56

=====

Result of the stability comparison: <ii> is the most stable of them.

=====

<i>
Below is Tb5Dy2Y12 after structural relaxation, with properties calculated at the PBE level.

The density of states at the Fermi level is 1.595 states/eV per atom. As for the space group: P-1, No. 2. The calculated volume comes out at 32.59 A^3/atom.

Lattice parameters (Å, degrees): 6.7456 8.8280 11.4053 111.04 92.29 100.51
Closest atoms and distances in Å follow each position.
Sites, in units of the cell vectors:
Tb: 0.0000 0.0000 0.0000  8 Y 3.53-3.83, 4 Tb 3.79-3.84
Tb: 0.3435 0.6157 0.4313  9 Y 3.42-3.80, 3 Dy 3.49-3.63
Tb: 0.4554 0.8179 0.0378  8 Y 3.40-3.77, 2 Tb 3.57-3.79
Tb: 0.5446 0.1821 0.9622  8 Y 3.40-3.77, 2 Tb 3.57-3.79
Tb: 0.6565 0.3843 0.5687  9 Y 3.42-3.80, 3 Dy 3.49-3.63
Dy: 0.1222 0.2669 0.5151  6 Y 3.23-3.57, 2 Tb 3.49-3.53
Dy: 0.8778 0.7331 0.4849  6 Y 3.23-3.57, 2 Tb 3.49-3.53
Y: 0.1075 0.6906 0.7217  1 Dy 3.23, 5 Y 3.30-3.58, 2 Tb 3.57-3.58
Y: 0.1197 0.8573 0.2696  2 Dy 3.39-3.69, 5 Y 3.44-3.60, 2 Tb 3.51-3.74
Y: 0.1616 0.4450 0.0875  6 Y 3.30-3.67, 1 Tb 3.63
Y: 0.3354 0.4279 0.8124  1 Dy 3.32, 6 Y 3.36-3.67, 3 Tb 3.40-3.63
Y: 0.3424 0.0227 0.6305  2 Dy 3.41-3.57, 6 Y 3.44-3.68, 3 Tb 3.50-3.80
Y: 0.3854 0.2198 0.2545  6 Y 3.34-3.67, 5 Tb 3.42-3.65, 1 Dy 3.46
Y: 0.6146 0.7802 0.7455  6 Y 3.34-3.67, 5 Tb 3.42-3.65, 1 Dy 3.46
Y: 0.6576 0.9773 0.3695  2 Dy 3.41-3.57, 6 Y 3.44-3.68, 3 Tb 3.50-3.80
Y: 0.6646 0.5721 0.1876  1 Dy 3.32, 6 Y 3.36-3.67, 3 Tb 3.40-3.63
Y: 0.8384 0.5550 0.9125  6 Y 3.30-3.67, 1 Tb 3.63
Y: 0.8803 0.1427 0.7304  2 Dy 3.39-3.69, 5 Y 3.44-3.60, 2 Tb 3.51-3.74
Y: 0.8925 0.3094 0.2783  1 Dy 3.23, 5 Y 3.30-3.58, 2 Tb 3.57-3.58

=====

<ii>
Below is Tb5Dy2Y12 after structural relaxation, with properties calculated at the PBE level.

The density of states at the Fermi level is 1.453 states/eV per atom. As for the space group: C2/m, No. 12. The calculated volume comes out at 32.88 A^3/atom.

Lattice parameters (Å, degrees): 9.0552 9.0552 8.6307 91.69 91.69 62.03
Closest atoms and distances in Å follow each position.
Sites, in units of the cell vectors:
Tb: 0.0000 0.0000 0.0000  10 Y 3.39-3.77, 2 Tb 3.60
Tb: 0.2300 0.2300 0.0718  8 Y 3.37-3.60, 2 Tb 3.60-3.63
Tb: 0.2955 0.2955 0.4796  8 Y 3.51-3.69, 2 Dy 3.56, 1 Tb 3.63
Tb: 0.7045 0.7045 0.5204  8 Y 3.51-3.69, 2 Dy 3.56, 1 Tb 3.63
Tb: 0.7700 0.7700 0.9282  8 Y 3.37-3.60, 2 Tb 3.60-3.63
Dy: 0.3277 0.6723 0.5000  1 Dy 3.22, 8 Y 3.34-3.57, 2 Tb 3.56
Dy: 0.6723 0.3277 0.5000  1 Dy 3.22, 8 Y 3.34-3.57, 2 Tb 3.56
Y: 0.0300 0.6711 0.2622  1 Dy 3.34, 4 Y 3.35-3.71, 4 Tb 3.53-3.70
Y: 0.0753 0.0753 0.3729  3 Y 3.26-3.50, 3 Tb 3.39-3.60, 2 Dy 3.47
Y: 0.1793 0.5620 0.8333  4 Tb 3.39-3.77, 5 Y 3.41-3.57, 1 Dy 3.57
Y: 0.3289 0.9700 0.7378  1 Dy 3.34, 4 Y 3.35-3.71, 4 Tb 3.53-3.70
Y: 0.4380 0.8207 0.1667  4 Tb 3.39-3.77, 5 Y 3.41-3.57, 1 Dy 3.57
Y: 0.4424 0.4424 0.1665  2 Tb 3.37-3.59, 2 Dy 3.39, 7 Y 3.41-3.53
Y: 0.5576 0.5576 0.8335  2 Tb 3.37-3.59, 2 Dy 3.39, 7 Y 3.41-3.53
Y: 0.5620 0.1793 0.8333  4 Tb 3.39-3.77, 5 Y 3.41-3.57, 1 Dy 3.57
Y: 0.6711 0.0300 0.2622  1 Dy 3.34, 4 Y 3.35-3.71, 4 Tb 3.53-3.70
Y: 0.8207 0.4380 0.1667  4 Tb 3.39-3.77, 5 Y 3.41-3.57, 1 Dy 3.57
Y: 0.9247 0.9247 0.6271  3 Y 3.26-3.50, 3 Tb 3.39-3.60, 2 Dy 3.47
Y: 0.9700 0.3289 0.7378  1 Dy 3.34, 4 Y 3.35-3.71, 4 Tb 3.53-3.70

=====

Result of the stability comparison: <i> is the most stable of them.

=====

<i>
Below is Tb4DyY6 after structural relaxation, with properties calculated at the PBE level.

The density of states at the Fermi level is 1.184 states/eV per atom. As for the space group: I-42m, No. 121. The calculated volume comes out at 34.48 A^3/atom.

Lattice parameters (Å, degrees): 8.5150 8.5150 8.5150 127.24 127.24 77.85
Closest atoms and distances in Å follow each position.
Sites, in units of the cell vectors:
Tb: 0.2555 0.2555 0.6649  3 Y 3.00-3.22, 2 Tb 3.25
Tb: 0.4094 0.7445 0.0000  3 Y 3.00-3.22, 2 Tb 3.25
Tb: 0.5906 0.5906 0.3351  3 Y 3.00-3.22, 2 Tb 3.25
Tb: 0.7445 0.4094 0.0000  3 Y 3.00-3.22, 2 Tb 3.25
Dy: 0.0000 0.0000 0.0000  8 Y 3.53-3.78, 4 Tb 3.70
Y: 0.0000 0.5000 0.5000  4 Tb 3.00
Y: 0.0503 0.5773 0.0000  1 Tb 3.22, 1 Dy 3.53
Y: 0.4227 0.4227 0.4730  1 Tb 3.22, 1 Dy 3.53
Y: 0.5000 0.0000 0.5000  4 Tb 3.00
Y: 0.5773 0.0503 0.0000  1 Tb 3.22, 1 Dy 3.53
Y: 0.9497 0.9497 0.5270  1 Tb 3.22, 1 Dy 3.53

=====

<ii>
Below is Tb4DyY6 after structural relaxation, with properties calculated at the PBE level.

The density of states at the Fermi level is 1.886 states/eV per atom. As for the space group: Cmcm, No. 63. The calculated volume comes out at 32.31 A^3/atom.

Lattice parameters (Å, degrees): 5.6140 5.6140 25.7398 90.00 90.00 118.81
Closest atoms and distances in Å follow each position.
Sites, in units of the cell vectors:
Tb: 0.0262 0.9738 0.6211  5 Y 3.13-3.32
Tb: 0.0262 0.9738 0.8789  5 Y 3.13-3.32
Tb: 0.3415 0.6585 0.5425  8 Y 3.42-3.79, 2 Tb 3.66-3.77
Tb: 0.3415 0.6585 0.9575  8 Y 3.42-3.79, 2 Tb 3.66-3.77
Tb: 0.6585 0.3415 0.0425  8 Y 3.42-3.79, 2 Tb 3.66-3.77
Tb: 0.6585 0.3415 0.4575  8 Y 3.42-3.79, 2 Tb 3.66-3.77
Tb: 0.9738 0.0262 0.1211  5 Y 3.13-3.32
Tb: 0.9738 0.0262 0.3789  5 Y 3.13-3.32
Dy: 0.3185 0.6815 0.2500  3 Y 3.23-3.28
Dy: 0.6815 0.3185 0.7500  3 Y 3.23-3.28
Y: 0.0000 0.0000 0.0000  8 Tb 3.13-3.48
Y: 0.0000 0.0000 0.5000  8 Tb 3.13-3.48
Y: 0.0155 0.9845 0.7500  3 Dy 3.23-3.28, 2 Tb 3.32
Y: 0.3124 0.6876 0.1044  5 Tb 3.28-3.59
Y: 0.3124 0.6876 0.3956  5 Tb 3.28-3.59
Y: 0.3528 0.6472 0.6816  4 Tb 3.52-3.66, 7 Y 3.52-3.83, 3 Dy 3.63-3.74
Y: 0.3528 0.6472 0.8184  4 Tb 3.52-3.66, 7 Y 3.52-3.83, 3 Dy 3.63-3.74
Y: 0.6472 0.3528 0.1816  4 Tb 3.52-3.66, 7 Y 3.52-3.83, 3 Dy 3.63-3.74
Y: 0.6472 0.3528 0.3184  4 Tb 3.52-3.66, 7 Y 3.52-3.83, 3 Dy 3.63-3.74
Y: 0.6876 0.3124 0.6044  5 Tb 3.28-3.59
Y: 0.6876 0.3124 0.8956  5 Tb 3.28-3.59
Y: 0.9845 0.0155 0.2500  3 Dy 3.23-3.28, 2 Tb 3.32

=====

Result of the stability comparison: <ii> is the most stable of them.

=====

<i>
Below is Tb3DyY7 after structural relaxation, with properties calculated at the PBE level.

The density of states at the Fermi level is 1.779 states/eV per atom. As for the space group: P2/m, No. 10. The calculated volume comes out at 32.91 A^3/atom.

Lattice parameters (Å, degrees): 6.9240 5.5447 10.0256 90.00 109.86 90.00
Closest atoms and distances in Å follow each position.
Sites, in units of the cell vectors:
Tb: 0.0000 0.0000 0.0000  2 Dy 3.46, 10 Y 3.52-3.83
Tb: 0.2792 0.5000 0.4983  1 Tb 3.05, 4 Y 3.34-3.38
Tb: 0.7208 0.5000 0.5017  1 Tb 3.05, 4 Y 3.34-3.38
Dy: 0.5000 0.0000 0.0000  2 Tb 3.46, 10 Y 3.51-3.83
Y: 0.0000 0.0000 0.5000  4 Tb 3.38
Y: 0.1464 0.5000 0.7889  3 Y 3.29-3.54, 2 Tb 3.34-3.35
Y: 0.3183 0.5000 0.1374  5 Y 3.29-3.54, 2 Dy 3.51, 2 Tb 3.52
Y: 0.4181 0.0000 0.3299  3 Y 3.21-3.31, 1 Dy 3.54, 5 Tb 3.54-3.58
Y: 0.5819 0.0000 0.6701  3 Y 3.21-3.31, 1 Dy 3.54, 5 Tb 3.54-3.58
Y: 0.6817 0.5000 0.8626  5 Y 3.29-3.54, 2 Dy 3.51, 2 Tb 3.52
Y: 0.8536 0.5000 0.2111  3 Y 3.29-3.54, 2 Tb 3.34-3.35

=====

<ii>
Below is Tb3DyY7 after structural relaxation, with properties calculated at the PBE level.

The density of states at the Fermi level is 1.656 states/eV per atom. As for the space group: P3m1, No. 156. The calculated volume comes out at 34.03 A^3/atom.

Lattice parameters (Å, degrees): 7.0857 7.0857 8.6090 90.00 90.00 120.00
Closest atoms and distances in Å follow each position.
Sites, in units of the cell vectors:
Tb: 0.9995 0.4998 0.0000  5 Y 3.52-3.54, 1 Dy 3.53, 4 Tb 3.54-3.55
Tb: 0.5002 0.0005 0.0000  5 Y 3.52-3.54, 1 Dy 3.53, 4 Tb 3.54-3.55
Tb: 0.5002 0.4998 0.0000  5 Y 3.52-3.54, 1 Dy 3.53, 4 Tb 3.54-3.55
Dy: 0.6667 0.3333 0.3350  9 Y 3.50-3.54, 3 Tb 3.53
Y: 0.1676 0.3352 0.3330  7 Y 3.50-3.56, 2 Tb 3.52, 2 Dy 3.54
Y: 0.1676 0.8324 0.3330  7 Y 3.50-3.56, 2 Tb 3.52, 2 Dy 3.54
Y: 0.3333 0.6667 0.6643  9 Y 3.50-3.54, 3 Tb 3.54
Y: 0.3358 0.1679 0.6656  1 Dy 3.50, 8 Y 3.52-3.57, 2 Tb 3.53
Y: 0.6648 0.8324 0.3330  7 Y 3.50-3.56, 2 Tb 3.52, 2 Dy 3.54
Y: 0.8321 0.1679 0.6656  1 Dy 3.50, 8 Y 3.52-3.57, 2 Tb 3.53
Y: 0.8321 0.6642 0.6656  1 Dy 3.50, 8 Y 3.52-3.57, 2 Tb 3.53

=====

Result of the stability comparison: <i> is the most stable of them.

=====

<i>
Below is Tb4Dy5Y2 after structural relaxation, with properties calculated at the PBE level.

The density of states at the Fermi level is 1.577 states/eV per atom. As for the space group: C2/m, No. 12. The calculated volume comes out at 32.55 A^3/atom.

Lattice parameters (Å, degrees): 8.8946 8.8946 6.6357 99.34 99.34 43.85
Closest atoms and distances in Å follow each position.
Sites, in units of the cell vectors:
Tb: 0.0888 0.0888 0.4041  2 Tb 3.32-3.39, 6 Dy 3.62-3.68, 1 Y 3.67
Tb: 0.2549 0.2549 0.1848  4 Dy 3.25-3.43, 1 Tb 3.32, 4 Y 3.35-3.56
Tb: 0.7451 0.7451 0.8152  4 Dy 3.25-3.43, 1 Tb 3.32, 4 Y 3.35-3.56
Tb: 0.9112 0.9112 0.5959  2 Tb 3.32-3.39, 6 Dy 3.62-3.68, 1 Y 3.67
Dy: 0.1503 0.6735 0.0970  4 Dy 3.17-3.48, 2 Tb 3.25-3.43, 1 Y 3.44
Dy: 0.3265 0.8497 0.9030  4 Dy 3.17-3.48, 2 Tb 3.25-3.43, 1 Y 3.44
Dy: 0.5000 0.5000 0.5000  4 Dy 3.31
Dy: 0.6735 0.1503 0.0970  4 Dy 3.17-3.48, 2 Tb 3.25-3.43, 1 Y 3.44
Dy: 0.8497 0.3265 0.9030  4 Dy 3.17-3.48, 2 Tb 3.25-3.43, 1 Y 3.44
Y: 0.2990 0.2990 0.6967  5 Tb 3.35-3.67, 2 Dy 3.44
Y: 0.7010 0.7010 0.3033  5 Tb 3.35-3.67, 2 Dy 3.44

=====

<ii>
Below is Tb4Dy5Y2 after structural relaxation, with properties calculated at the PBE level.

The density of states at the Fermi level is 1.326 states/eV per atom. As for the space group: P-1, No. 2. The calculated volume comes out at 31.76 A^3/atom.

Lattice parameters (Å, degrees): 3.5501 8.7101 11.7904 75.85 81.42 89.99
Closest atoms and distances in Å follow each position.
Sites, in units of the cell vectors:
Tb: 0.0456 0.3624 0.4088  3 Dy 3.54-3.55, 5 Tb 3.55-3.58, 4 Y 3.56-3.57
Tb: 0.3177 0.5451 0.8640  6 Tb 3.55-3.56, 1 Y 3.55, 5 Dy 3.55-3.56
Tb: 0.6823 0.4549 0.1360  6 Tb 3.55-3.56, 1 Y 3.55, 5 Dy 3.55-3.56
Tb: 0.9544 0.6376 0.5912  3 Dy 3.54-3.55, 5 Tb 3.55-3.58, 4 Y 3.56-3.57
Dy: 0.1364 0.0916 0.2271  3 Tb 3.54-3.56, 7 Dy 3.54-3.56, 2 Y 3.56
Dy: 0.2280 0.8195 0.0444  7 Dy 3.54-3.56, 3 Tb 3.55-3.56, 2 Y 3.56
Dy: 0.5000 0.0000 0.5000  4 Tb 3.55, 6 Dy 3.55-3.56, 2 Y 3.55
Dy: 0.7720 0.1805 0.9556  7 Dy 3.54-3.56, 3 Tb 3.55-3.56, 2 Y 3.56
Dy: 0.8636 0.9084 0.7729  3 Tb 3.54-3.56, 7 Dy 3.54-3.56, 2 Y 3.56
Y: 0.4089 0.2725 0.6822  2 Y 3.55, 5 Tb 3.55-3.57, 5 Dy 3.55-3.56
Y: 0.5911 0.7275 0.3178  2 Y 3.55, 5 Tb 3.55-3.57, 5 Dy 3.55-3.56

=====

Result of the stability comparison: <ii> is the most stable of them.